A.
First-principles (PBE) data for crystalline HoMg2Hg at its relaxed geometry, as listed in Alexandria.

a = 3.4633 Å, b = 3.4633 Å, c = 10.0257 Å
α = 79.91°, β = 79.91°, γ = 59.72°
Last column: nearest neighbours and their distance in Å.
Fractional coordinates of all 4 atoms:
Ho 0.4976 0.4976 0.4998  6 Mg 3.36-3.38, 6 Ho 3.45-3.46
Mg 0.2601 0.2601 0.2233  3 Hg 2.96-2.97
Mg 0.0749 0.0749 0.7768  3 Hg 2.96-2.97
Hg 0.6674 0.6674 0.0001  6 Mg 2.96-2.97

Results
- Space group: Cm

B.
First-principles (PBE) data for crystalline HoMg2Hg at its relaxed geometry, as listed in Alexandria.

a = 3.4871 Å, b = 4.9546 Å, c = 11.2730 Å
α = 90.00°, β = 98.90°, γ = 90.00°
Last column: nearest neighbours and their distance in Å.
Fractional coordinates of all 8 atoms:
Mg 0.0313 0.2500 0.0626  1 Hg 2.83, 2 Mg 2.84
Mg 0.9687 0.7500 0.9374  1 Hg 2.83, 2 Mg 2.84
Ho 0.3958 0.2500 0.7917  4 Hg 3.26, 8 Mg 3.39-3.49, 2 Ho 3.49
Hg 0.1582 0.2500 0.3163  5 Mg 2.83-3.01
Mg 0.7654 0.2500 0.5308  4 Hg 2.96-3.01, 4 Mg 3.11
Ho 0.6042 0.7500 0.2083  4 Hg 3.26, 8 Mg 3.39-3.49, 2 Ho 3.49
Hg 0.8418 0.7500 0.6837  5 Mg 2.83-3.01
Mg 0.2346 0.7500 0.4692  4 Hg 2.96-3.01, 4 Mg 3.11

Results
- Space group: Cmcm

Of them, the most stable is B and the least stable is A.

A.
First-principles (PBE) data for crystalline HoMg2Hg at its relaxed geometry, as listed in Alexandria.

a = 5.0425 Å, b = 5.0425 Å, c = 5.0425 Å
α = 60.00°, β = 60.00°, γ = 60.00°
Last column: nearest neighbours and their distance in Å.
Fractional coordinates of all 4 atoms:
Hg 0.5000 0.5000 0.5000  8 Mg 3.09
Mg 0.7500 0.7500 0.7500  4 Ho 3.09, 4 Hg 3.09
Ho 0.0000 0.0000 0.0000  8 Mg 3.09
Mg 0.2500 0.2500 0.2500  4 Hg 3.09, 4 Ho 3.09

Results
- Space group: Fm-3m

B.
First-principles (PBE) data for crystalline HoMg2Hg at its relaxed geometry, as listed in Alexandria.

a = 5.0720 Å, b = 5.0720 Å, c = 5.0687 Å
α = 90.48°, β = 119.73°, γ = 119.74°
Last column: nearest neighbours and their distance in Å.
Fractional coordinates of all 4 atoms:
Mg 0.1247 0.8125 0.9372  4 Ho 3.11, 4 Mg 3.11
Hg 0.1252 0.3125 0.4377  4 Ho 3.11, 4 Mg 3.11
Ho 0.6249 0.5625 0.1874  4 Mg 3.11, 4 Hg 3.11
Mg 0.6252 0.0625 0.6877  4 Hg 3.11, 4 Mg 3.11

Results
- Space group: I-4m2

Of them, the most stable is B and the least stable is A.